Density functional theory data (GGA-PBE) for an optimized crystal structure of Ba5ErBi5.

The space group is C2/m (No. 12) and the conventional cell measures 16.3865, 6.9713 and 9.5574 Å, with angles of 90.00, 108.39 and 90.00 degrees. The inequivalent atoms are Ba at (0.0000, 0.0000, 0.0000), Ba at (0.1694, 0.5000, 0.3386), Ba at (0.1879, 0.5000, 0.8179), Er at (0.0000, 0.0000, 0.5000), Bi at (0.0000, 0.5000, 0.5000), Bi at (0.1459, 0.0000, 0.3510) and Bi at (0.1532, 0.0000, 0.8151).

For the energy relative to the elements, the calculation gives -16.512 kcal/mol of atoms.